1.
This record from Alexandria describes a relaxed structure of La2GaNiW. The functional is GGA-PBE.

Uncorrected energy (eV/atom): -5.439
ΔE_f (eV per formula unit): 4.42

```
5
Lattice="5.674 0.000 0.000 0.000 4.242 0.000 0.000 0.000 5.674" Properties=species:S:1:pos:R:3 pbc="T T T"
La 0.000 0.000 2.837
La 2.837 0.000 0.000
Ga 0.000 0.000 0.000
Ni 0.000 2.121 0.000
W 2.837 2.121 2.837
```

=====

2.
This record from Alexandria describes a relaxed structure of H2Pd6S. The functional is GGA-PBE.

Energy relative to the lowest polymorph listed for this composition (eV per atom): 0.000
Uncorrected energy (eV/atom): -4.777

```
9
Lattice="-1.613 3.587 2.971 -4.688 -2.286 0.225 3.678 -1.233 3.489" Properties=species:S:1:pos:R:3 pbc="T T T"
Pd 1.938 0.148 3.021
Pd -3.433 -0.528 0.924
Pd -0.786 -0.317 2.108
Pd -4.560 -0.081 3.664
Pd -1.837 0.384 4.577
Pd 0.811 0.595 5.760
H 0.081 0.202 3.877
H -2.703 -0.135 2.808
S 0.000 0.000 0.000
```

=====

What is the formula in the second record?
H2Pd6S

=====

Please write out number 1 again, unchanged.
This record from Alexandria describes a relaxed structure of La2GaNiW. The functional is GGA-PBE.

Uncorrected energy (eV/atom): -5.439
ΔE_f (eV per formula unit): 4.42

```
5
Lattice="5.674 0.000 0.000 0.000 4.242 0.000 0.000 0.000 5.674" Properties=species:S:1:pos:R:3 pbc="T T T"
La 0.000 0.000 2.837
La 2.837 0.000 0.000
Ga 0.000 0.000 0.000
Ni 0.000 2.121 0.000
W 2.837 2.121 2.837
```